# Pm12PrTm7 PBE relaxed
data_Pm12PrTm7
_chemical_formula_sum 'Pm24 Pr2 Tm14'
_cell_length_a 11.525
_cell_length_b 11.525
_cell_length_c 11.525
_cell_angle_alpha 90.00
_cell_angle_beta 90.00
_cell_angle_gamma 90.00
_symmetry_space_group_name_H-M 'I m -3'
_symmetry_Int_Tables_number 204
_symmetry_space_group_name_Hall '-I 2 2 3'
loop_
_atom_site_label
_atom_site_type_symbol
_atom_site_fract_x
_atom_site_fract_y
_atom_site_fract_z
_atom_site_occupancy
Pm1 Pm 0.000 0.255 0.260 1
Pr1 Pr 0.000 0.000 0.000 1
Tm1 Tm 0.000 0.000 0.500 1
Tm2 Tm 0.250 0.250 0.250 1
# Calculated formation energy   0.68 eV per atom
# Polymorph energy (0 for the lowest one)   583 meV/atom
# DOS at the Fermi energy   57.81 states/eV per cell